#w
## RbTeBr2 (PBE)

Data for crystalline RbTeBr2 at its relaxed geometry.

The structure in POSCAR format:
```
RbTeBr2
1.0
1.9448 1.1229 11.1272
-1.9448 1.1229 11.1272
0.0000 -2.2457 11.1272
Rb Te Br
1 1 2
Direct
0.0000 0.0000 0.0000 Rb
0.5000 0.5000 0.5000 Te
0.0929 0.0929 0.0929 Br
0.9071 0.9071 0.9071 Br
```

ρ = 4.25 g/cm3
symmetry = R-3m, No. 166

---

#x
## RbTeBr2 (PBE)

Data for crystalline RbTeBr2 at its relaxed geometry.

The structure in POSCAR format:
```
RbTeBr2
1.0
2.5870 1.4936 8.9487
-2.5870 1.4936 8.9487
0.0000 -2.9872 8.9487
Rb Te Br
1 1 2
Direct
0.0000 0.0000 0.0000 Rb
0.5000 0.5000 0.5000 Te
0.3976 0.3976 0.3976 Br
0.6024 0.6024 0.6024 Br
```

ρ = 2.98 g/cm3
symmetry = R-3m, No. 166

---

Q: What are the energies relative to the best structure? A: #w 630; #x 0, in meV per atom.

---

#w
## RbTeBr2 (PBE)

Data for crystalline RbTeBr2 at its relaxed geometry.

The structure in POSCAR format:
```
RbTeBr2
1.0
0.0000 4.1445 4.1445
4.1445 0.0000 4.1445
4.1445 4.1445 0.0000
Rb Te Br
1 1 2
Direct
0.0000 0.0000 0.0000 Rb
0.5000 0.5000 0.5000 Te
0.2500 0.2500 0.2500 Br
0.7500 0.7500 0.7500 Br
```

ρ = 4.35 g/cm3
symmetry = Fm-3m, No. 225

---

#x
## RbTeBr2 (PBE)

Data for crystalline RbTeBr2 at its relaxed geometry.

The structure in POSCAR format:
```
RbTeBr2
1.0
-3.0572 3.0572 9.5677
3.0572 -3.0572 9.5677
3.0572 3.0572 -9.5677
Rb Te Br
2 2 4
Direct
0.0000 0.0000 0.0000 Rb
0.7500 0.2500 0.5000 Rb
0.2500 0.7500 0.5000 Te
0.5000 0.5000 0.0000 Te
0.2130 0.6250 0.0880 Br
0.3750 0.4630 0.5880 Br
0.5370 0.1250 0.9120 Br
0.8750 0.7870 0.4120 Br
```

ρ = 3.46 g/cm3
symmetry = I-42d, No. 122

---

Q: What are the energies relative to the best structure? A: #w 152; #x 0, in meV per atom.

---

#w
## RbTe2Br (PBE)

Data for crystalline RbTe2Br at its relaxed geometry.

The structure in POSCAR format:
```
RbTe2Br
1.0
1.9866 1.1470 11.0328
-1.9866 1.1470 11.0328
0.0000 -2.2940 11.0328
Rb Te Br
1 2 1
Direct
0.0000 0.0000 0.0000 Rb
0.4176 0.4176 0.4176 Te
0.5824 0.5824 0.5824 Te
0.5000 0.5000 0.5000 Br
```

ρ = 4.63 g/cm3
symmetry = R-3m, No. 166

---

#x
## RbTe2Br (PBE)

Data for crystalline RbTe2Br at its relaxed geometry.

The structure in POSCAR format:
```
RbTe2Br
1.0
-2.2986 2.2986 17.9666
2.2986 -2.2986 17.9666
2.2986 2.2986 -17.9666
Rb Te Br
2 4 2
Direct
0.0000 0.0000 0.0000 Rb
0.7500 0.2500 0.5000 Rb
0.1911 0.1250 0.5661 Te
0.3750 0.8089 0.9339 Te
0.5589 0.6250 0.4339 Te
0.8750 0.4411 0.0661 Te
0.2500 0.7500 0.5000 Br
0.5000 0.5000 0.0000 Br
```

ρ = 3.68 g/cm3
symmetry = I-42d, No. 122

---

Q: What are the energies relative to the best structure? A: #w 601; #x 0, in meV per atom.

---

#w
## Rb2TeBr4 (PBE)

Data for crystalline Rb2TeBr4 at its relaxed geometry.

The structure in POSCAR format:
```
Rb2TeBr4
1.0
-3.9871 3.9871 4.6150
3.9871 -3.9871 4.6150
3.9871 3.9871 -4.6150
Rb Te Br
2 1 4
Direct
0.2500 0.7500 0.5000 Rb
0.7500 0.2500 0.5000 Rb
0.0000 0.0000 0.0000 Te
0.2470 0.2470 0.4940 Br
0.2470 0.7530 0.0000 Br
0.7530 0.2470 0.0000 Br
0.7530 0.7530 0.5060 Br
```

ρ = 3.50 g/cm3
symmetry = I4/mmm, No. 139

---

#x
## Rb2TeBr4 (PBE)

Data for crystalline Rb2TeBr4 at its relaxed geometry.

The structure in POSCAR format:
```
Rb2TeBr4
1.0
-3.0354 3.0354 8.3001
3.0354 -3.0354 8.3001
3.0354 3.0354 -8.3001
Rb Te Br
2 1 4
Direct
0.1267 0.1267 0.0000 Rb
0.8733 0.8733 0.0000 Rb
0.5000 0.5000 0.0000 Te
0.0000 0.5000 0.5000 Br
0.3330 0.3330 0.0000 Br
0.5000 0.0000 0.5000 Br
0.6670 0.6670 0.0000 Br
```

ρ = 3.36 g/cm3
symmetry = I4/mmm, No. 139

---

Q: What are the energies relative to the best structure? A: #w 0; #x 101, in meV per atom.

---

#w
## Rb3TeBr6 (PBE)

Data for crystalline Rb3TeBr6 at its relaxed geometry.

The structure in POSCAR format:
```
Rb3TeBr6
1.0
8.2226 0.0000 0.0000
0.0000 8.3129 0.0000
-6.5570 0.0000 12.6498
Rb Te Br
6 2 12
Direct
0.0000 0.0000 0.0000 Rb
0.0000 0.5000 0.5000 Rb
0.2799 0.0801 0.7681 Rb
0.2799 0.4199 0.2681 Rb
0.7201 0.5801 0.7319 Rb
0.7201 0.9199 0.2319 Rb
0.5000 0.0000 0.5000 Te
0.5000 0.5000 0.0000 Te
0.1411 0.0316 0.2611 Br
0.1411 0.4684 0.7611 Br
0.3106 0.6773 0.0799 Br
0.3106 0.8227 0.5799 Br
0.3970 0.2204 0.0606 Br
0.3970 0.2796 0.5606 Br
0.6030 0.7204 0.4394 Br
0.6030 0.7796 0.9394 Br
0.6894 0.1773 0.4201 Br
0.6894 0.3227 0.9201 Br
0.8589 0.5316 0.2389 Br
0.8589 0.9684 0.7389 Br
```

ρ = 3.32 g/cm3
symmetry = P2_1/c, No. 14

---

#x
## Rb3TeBr6 (PBE)

Data for crystalline Rb3TeBr6 at its relaxed geometry.

The structure in POSCAR format:
```
Rb3TeBr6
1.0
-4.2003 4.2003 6.5242
4.2003 -4.2003 6.5242
4.2003 4.2003 -6.5242
Rb Te Br
3 1 6
Direct
0.0000 0.0000 0.0000 Rb
0.2500 0.7500 0.5000 Rb
0.7500 0.2500 0.5000 Rb
0.5000 0.5000 0.0000 Te
0.2505 0.2505 0.0000 Br
0.2718 0.2718 0.5436 Br
0.2718 0.7282 0.0000 Br
0.7282 0.2718 0.0000 Br
0.7282 0.7282 0.4564 Br
0.7495 0.7495 0.0000 Br
```

ρ = 3.11 g/cm3
symmetry = I4/mmm, No. 139

---

Q: What are the energies relative to the best structure? A: #w 0; #x 70, in meV per atom.

---

#w
## RbTeBr5 (PBE)

Data for crystalline RbTeBr5 at its relaxed geometry.

The structure in POSCAR format:
```
RbTeBr5
1.0
7.4080 -3.9548 0.0000
7.4080 3.9548 0.0000
-4.1967 0.0000 10.2573
Rb Te Br
2 2 10
Direct
0.0251 0.9749 0.7500 Rb
0.9749 0.0251 0.2500 Rb
0.5000 0.5000 0.0000 Te
0.5000 0.5000 0.5000 Te
0.1197 0.6100 0.4554 Br
0.1230 0.5979 0.9039 Br
0.3900 0.8803 0.0446 Br
0.4021 0.8770 0.5961 Br
0.4285 0.5715 0.2500 Br
0.5715 0.4285 0.7500 Br
0.5979 0.1230 0.4039 Br
0.6100 0.1197 0.9554 Br
0.8770 0.4021 0.0961 Br
0.8803 0.3900 0.5446 Br
```

ρ = 3.39 g/cm3
symmetry = C2/c, No. 15

---

#x
## RbTeBr5 (PBE)

Data for crystalline RbTeBr5 at its relaxed geometry.

The structure in POSCAR format:
```
RbTeBr5
1.0
-4.4941 6.1410 3.1050
4.4941 -6.1410 3.1050
4.4941 6.1410 -3.1050
Rb Te Br
1 1 5
Direct
0.0000 0.0000 0.0000 Rb
0.4970 0.9970 0.5000 Te
0.0849 0.5849 0.5000 Br
0.3457 0.0615 0.2842 Br
0.5030 0.3062 0.8032 Br
0.5030 0.6997 0.1968 Br
0.7773 0.0615 0.7158 Br
```

ρ = 2.97 g/cm3
symmetry = Imm2, No. 44

---

Q: What are the energies relative to the best structure? A: #w 0; #x 16, in meV per atom.

---

#w
## Rb2TeBr (PBE)

Data for crystalline Rb2TeBr at its relaxed geometry.

The structure in POSCAR format:
```
Rb2TeBr
1.0
-4.6658 4.6658 4.7621
4.6658 -4.6658 4.7621
4.6658 4.6658 -4.7621
Rb Te Br
4 2 2
Direct
0.0971 0.1250 0.4721 Rb
0.3750 0.9029 0.0279 Rb
0.6529 0.6250 0.5279 Rb
0.8750 0.3471 0.9721 Rb
0.2500 0.7500 0.5000 Te
0.5000 0.5000 0.0000 Te
0.0000 0.0000 0.0000 Br
0.7500 0.2500 0.5000 Br
```

ρ = 3.03 g/cm3
symmetry = I-42d, No. 122

---

#x
## Rb2TeBr (PBE)

Data for crystalline Rb2TeBr at its relaxed geometry.

The structure in POSCAR format:
```
Rb2TeBr
1.0
0.0000 4.3559 4.3559
4.3559 0.0000 4.3559
4.3559 4.3559 0.0000
Rb Te Br
2 1 1
Direct
0.2500 0.2500 0.2500 Rb
0.7500 0.7500 0.7500 Rb
0.0000 0.0000 0.0000 Te
0.5000 0.5000 0.5000 Br
```

ρ = 3.80 g/cm3
symmetry = Fm-3m, No. 225

---

Q: What are the energies relative to the best structure? A: #w 12; #x 0, in meV per atom.

---

#w
## Rb2ThBr5 (PBE)

Data for crystalline Rb2ThBr5 at its relaxed geometry.

The structure in POSCAR format:
```
Rb2ThBr5
1.0
10.6246 0.0000 0.0000
0.0000 14.0714 0.0000
0.0000 0.0000 4.0979
Rb Th Br
4 2 10
Direct
0.0776 0.1699 0.0000 Rb
0.4224 0.6699 0.0000 Rb
0.5776 0.3301 0.0000 Rb
0.9224 0.8301 0.0000 Rb
0.0000 0.5000 0.5000 Th
0.5000 0.0000 0.5000 Th
0.0000 0.0000 0.5000 Br
0.1326 0.6791 0.5000 Br
0.1748 0.4189 0.0000 Br
0.3252 0.9189 0.0000 Br
0.3674 0.1791 0.5000 Br
0.5000 0.5000 0.5000 Br
0.6326 0.8209 0.5000 Br
0.6748 0.0811 0.0000 Br
0.8252 0.5811 0.0000 Br
0.8674 0.3209 0.5000 Br
```

ρ = 4.35 g/cm3
symmetry = Pbam, No. 55

---

#x
## Rb2ThBr5 (PBE)

Data for crystalline Rb2ThBr5 at its relaxed geometry.

The structure in POSCAR format:
```
Rb2ThBr5
1.0
-4.1095 4.1095 5.4121
4.1095 -4.1095 5.4121
4.1095 4.1095 -5.4121
Rb Th Br
2 1 5
Direct
0.0000 0.5000 0.5000 Rb
0.5000 0.0000 0.5000 Rb
0.2492 0.2492 0.0000 Th
0.4765 0.4765 0.4908 Br
0.4765 0.9858 0.0000 Br
0.5070 0.5070 0.0000 Br
0.9858 0.4765 0.0000 Br
0.9858 0.9858 0.5092 Br
```

ρ = 3.64 g/cm3
symmetry = I4mm, No. 107

---

Q: What are the energies relative to the best structure? A: #w 0; #x 74, in meV per atom.